[1]
Below is a geometry-optimized Ag5AuBr8 structure, with properties calculated at the PBE level.

Results
Calculated density   5.7 Mg/m³
Crystal system   cubic
E_form (uncorrected)   -0.2258 eV/atom
DFT total energy   -136.3 eV per cell

CIF file:
```
data_Ag5AuBr8
_chemical_formula_sum 'Ag20 Au4 Br32'
_space_group_name_H-M_alt 'F -4 3 m'
_space_group_IT_number 216
_space_group_name_Hall 'F -4 2 3'
_cell_length_a 11.673
_cell_length_b 11.673
_cell_length_c 11.673
_cell_angle_alpha 90.00
_cell_angle_beta 90.00
_cell_angle_gamma 90.00
loop_
_atom_site_label
_atom_site_fract_x
_atom_site_fract_y
_atom_site_fract_z
_atom_site_occupancy
Ag1 0.000 0.000 0.000 1
Ag2 0.125 0.125 0.625 1
Au1 0.250 0.250 0.250 1
Br1 0.119 0.119 0.381 1
Br2 0.132 0.132 0.868 1
```

[2]
Below is a geometry-optimized Ag3AuBr6 structure, with properties calculated at the PBE level.

Results
Calculated density   5.9 Mg/m³
Energy above the lowest structure with this stoichiometry   56.4 meV/atom
Crystal system   trigonal
E_form (uncorrected)   -0.1897 eV/atom
DFT total energy   -142.6 eV per cell

CIF file:
```
data_Ag3AuBr6
_chemical_formula_sum 'Ag18 Au6 Br36'
_space_group_name_H-M_alt 'R -3'
_space_group_IT_number 148
_space_group_name_Hall '-R 3'
_cell_length_a 12.1237
_cell_length_b 12.1237
_cell_length_c 13.2281
_cell_angle_alpha 90.00
_cell_angle_beta 90.00
_cell_angle_gamma 120.00
loop_
_atom_site_label
_atom_site_fract_x
_atom_site_fract_y
_atom_site_fract_z
_atom_site_occupancy
Ag1 0.0445 0.7601 0.1918 1
Au1 0.0000 0.0000 0.0000 1
Au2 0.0000 0.0000 0.5000 1
Br1 0.0046 0.8120 0.3874 1
Br2 0.0070 0.8221 0.8807 1
```

[3]
Below is a geometry-optimized AgAuBr6 structure, with properties calculated at the PBE level.

Results
Calculated density   5.3 Mg/m³
Crystal system   trigonal
E_form (uncorrected)   -0.0175 eV/atom
DFT total energy   -48.9 eV per cell

CIF file:
```
data_AgAuBr6
_chemical_formula_sum 'Ag3 Au3 Br18'
_space_group_name_H-M_alt 'R -3'
_space_group_IT_number 148
_space_group_name_Hall '-R 3'
_cell_length_a 7.0338
_cell_length_b 7.0338
_cell_length_c 17.3113
_cell_angle_alpha 90.00
_cell_angle_beta 90.00
_cell_angle_gamma 120.00
loop_
_atom_site_label
_atom_site_fract_x
_atom_site_fract_y
_atom_site_fract_z
_atom_site_occupancy
Ag1 0.0000 0.0000 0.0000 1
Au1 0.0000 0.0000 0.5000 1
Br1 0.0195 0.3758 0.2510 1
```

[4]
Below is a geometry-optimized Ag2AuBr4 structure, with properties calculated at the PBE level.

Results
Calculated density   5.5 Mg/m³
Crystal system   tetragonal
E_form (uncorrected)   -0.1637 eV/atom
DFT total energy   -33.6 eV per cell

CIF file:
```
data_Ag2AuBr4
_chemical_formula_sum 'Ag4 Au2 Br8'
_space_group_name_H-M_alt 'I -4 2 m'
_space_group_IT_number 121
_space_group_name_Hall 'I -4 2'
_cell_length_a 6.225
_cell_length_b 6.225
_cell_length_c 11.400
_cell_angle_alpha 90.00
_cell_angle_beta 90.00
_cell_angle_gamma 90.00
loop_
_atom_site_label
_atom_site_fract_x
_atom_site_fract_y
_atom_site_fract_z
_atom_site_occupancy
Ag1 0.000 0.500 0.250 1
Au1 0.000 0.000 0.000 1
Br1 0.240 0.240 0.614 1
```